Material: Tb5Sb2Te2
Method: DFT, PBE
State: optimized geometry

The space group is C2/m (No. 12) and the conventional cell measures 15.285, 5.336 and 9.089 Å, with angles of 90.00, 125.95 and 90.00 degrees. The inequivalent atoms are Tb at (0.000, 0.000, 0.000), Tb at (0.134, 0.000, 0.797), Tb at (0.134, 0.500, 0.317), Sb at (0.118, 0.500, 0.963) and Te at (0.118, 0.000, 0.444).

Its uncorrected formation energy is -0.8950 eV per atom. The polymorph energy (0 for the lowest one) is 0.203 eV per atom.



Material: CsTmBi2
Method: DFT, PBE
State: optimized geometry

The space group is P4/mmm (No. 123) and the conventional cell measures 3.728, 3.728 and 10.174 Å, with angles of 90.00, 90.00 and 90.00 degrees. The inequivalent atoms are Cs at (0.000, 0.000, 0.000), Tm at (0.000, 0.000, 0.500) and Bi at (0.500, 0.500, 0.297).

The polymorph energy (0 for the lowest one) is 0.000 eV per atom. As for the formation energy: -0.4673 eV per atom.



Material: TcPW
Method: DFT, PBE
State: optimized geometry

The space group is P-6m2 (No. 187) and the conventional cell measures 4.1345, 4.1345 and 2.8871 Å, with angles of 90.00, 90.00 and 120.00 degrees. The inequivalent atoms are Tc at (0.0000, 0.0000, 0.0000), P at (0.6667, 0.3333, 0.0000) and W at (0.3333, 0.6667, 0.5000).

The polymorph energy (0 for the lowest one) is 0.045 eV per atom. As for the formation energy: -0.1648 eV per atom.